1.
{"formula": "BaCd2ReP", "functional": "GGA-PBEsol", "state": "relaxed", "magmom_total_mub_per_fu": 0.00, "formation_enthalpy_0k_mev_per_atom": -86, "lattice_angstrom": [[4.533, 0.000, 0.000], [0.000, 5.263, 0.000], [0.000, 0.000, 5.263]], "species": ["Re", "Ba", "P", "Cd", "Cd"], "fractional_positions": [[0.000, 0.000, 0.000], [0.500, 0.500, 0.500], [0.500, 0.000, 0.000], [0.000, 0.000, 0.500], [0.000, 0.500, 0.000]]}

---

2.
{"formula": "Ba2CdPb", "functional": "GGA-PBEsol", "state": "relaxed", "relative_energy_kcal_per_mol_atoms": 0.00, "magmom_total_mub_per_fu": 0.00, "formation_enthalpy_0k_mev_per_atom": -487, "lattice_angstrom": [[5.925, 0.000, 0.000], [2.963, 5.132, 0.000], [2.963, 1.711, 4.838]], "species": ["Pb", "Ba", "Ba", "Cd"], "fractional_positions": [[0.000, 0.000, 0.000], [0.250, 0.250, 0.250], [0.750, 0.750, 0.750], [0.500, 0.500, 0.500]]}

---

3.
{"formula": "Ba2CdPb", "functional": "GGA-PBEsol", "state": "relaxed", "relative_energy_kcal_per_mol_atoms": 1.46, "magmom_total_mub_per_fu": 0.00, "formation_enthalpy_0k_mev_per_atom": -424, "lattice_angstrom": [[-1.327, -3.656, 1.428], [0.115, -1.545, -3.848], [8.122, -2.465, 1.234]], "species": ["Pb", "Ba", "Ba", "Cd"], "fractional_positions": [[0.500, 0.500, 0.000], [0.000, 0.000, 0.253], [0.000, 0.000, 0.747], [0.500, 0.500, 0.500]]}

---

4.
{"formula": "BaCdPb4", "functional": "GGA-PBEsol", "state": "relaxed", "magmom_total_mub_per_fu": 0.00, "formation_enthalpy_0k_mev_per_atom": -155, "lattice_angstrom": [[6.477, 0.000, 0.000], [3.238, 5.609, 0.000], [3.238, 1.870, 5.288]], "species": ["Ba", "Cd", "Pb", "Pb", "Pb", "Pb"], "fractional_positions": [[0.750, 0.750, 0.750], [0.000, 0.000, 0.000], [0.375, 0.375, 0.375], [0.375, 0.375, 0.874], [0.874, 0.375, 0.375], [0.375, 0.874, 0.375]]}

---

5.
{"formula": "Ba2CdPb", "functional": "GGA-PBEsol", "state": "relaxed", "relative_energy_kcal_per_mol_atoms": 1.05, "magmom_total_mub_per_fu": 0.00, "formation_enthalpy_0k_mev_per_atom": -441, "lattice_angstrom": [[4.153, 0.000, 0.000], [0.000, 5.719, 0.000], [0.000, 0.000, 6.065]], "species": ["Pb", "Ba", "Ba", "Cd"], "fractional_positions": [[0.500, 0.500, 0.189], [0.000, 0.000, 0.085], [0.000, 0.500, 0.665], [0.500, 0.000, 0.561]]}

---

6.
{"formula": "Ba2CdPb", "functional": "GGA-PBEsol", "state": "relaxed", "relative_energy_kcal_per_mol_atoms": 4.36, "magmom_total_mub_per_fu": 0.00, "formation_enthalpy_0k_mev_per_atom": -298, "lattice_angstrom": [[-1.983, 2.087, -3.973], [0.891, -1.861, -4.451], [-7.367, -5.116, -2.039]], "species": ["Pb", "Ba", "Ba", "Cd"], "fractional_positions": [[0.220, 0.220, 0.341], [0.965, 0.965, 0.106], [0.786, 0.786, 0.642], [0.530, 0.530, 0.411]]}

---

7.
{"formula": "BaCdPdPt2", "functional": "GGA-PBEsol", "state": "relaxed", "magmom_total_mub_per_fu": 0.00, "formation_enthalpy_0k_mev_per_atom": 126, "lattice_angstrom": [[4.880, 0.000, 0.000], [0.000, 5.036, 0.000], [0.000, 0.000, 5.036]], "species": ["Pd", "Ba", "Pt", "Pt", "Cd"], "fractional_positions": [[0.000, 0.000, 0.000], [0.500, 0.500, 0.500], [0.000, 0.000, 0.500], [0.000, 0.500, 0.000], [0.500, 0.000, 0.000]]}

---

8.
{"formula": "BaCd2Pt2", "functional": "GGA-PBEsol", "state": "relaxed", "magmom_total_mub_per_fu": 0.00, "formation_enthalpy_0k_mev_per_atom": -491, "lattice_angstrom": [[4.403, 0.000, 0.000], [0.000, 4.403, 0.000], [-2.202, -2.202, 5.974]], "species": ["Ba", "Pt", "Pt", "Cd", "Cd"], "fractional_positions": [[0.000, 0.000, 0.000], [0.392, 0.392, 0.784], [0.608, 0.608, 0.216], [0.250, 0.750, 0.500], [0.750, 0.250, 0.500]]}